(1)
Computed, not measured: a relaxed structure of Os3W at the PBE level of DFT.

Its total energy is -44.1 eV per cell. Its calculated formation energy is 14.4 kcal/mol of atoms. As for the density of states at the Fermi level: 6.998 states/eV per cell.

Cell: 4.406 4.406 4.406 Å, 60.00 60.00 60.00°
Positions (direct):
Os  0.000  0.000  0.000
Os  0.250  0.250  0.250
Os  0.750  0.750  0.750
W  0.500  0.500  0.500

***

(2)
Computed, not measured: a relaxed structure of OsW at the PBE level of DFT.

Its total energy is -47.7 eV per cell. Its calculated formation energy is 4.1 kcal/mol of atoms. As for the density of states at the Fermi level: 3.615 states/eV per cell.

Cell: 5.265 5.265 4.357 Å, 90.00 90.00 149.17°
Positions (direct):
Os  0.069  0.931  0.750
Os  0.931  0.069  0.250
W  0.329  0.671  0.750
W  0.671  0.329  0.250

***

(3)
Computed, not measured: a relaxed structure of OsW3 at the PBE level of DFT.

Its total energy is -49.1 eV per cell. Its calculated formation energy is 5.9 kcal/mol of atoms. As for the density of states at the Fermi level: 3.692 states/eV per cell.

Cell: 4.920 4.920 4.920 Å, 132.57 132.57 69.33°
Positions (direct):
Os  0.000  0.000  0.000
W  0.250  0.750  0.500
W  0.500  0.500  0.000
W  0.750  0.250  0.500

***

(4)
Computed, not measured: a relaxed structure of OsW3 at the PBE level of DFT.

Its total energy is -38.6 eV per cell. Its calculated formation energy is 66.4 kcal/mol of atoms. As for the density of states at the Fermi level: 5.091 states/eV per cell.

Cell: 4.788 4.788 4.788 Å, 90.00 90.00 90.00°
Positions (direct):
Os  0.000  0.000  0.000
W  0.000  0.000  0.500
W  0.000  0.500  0.000
W  0.500  0.000  0.000

***

(5)
Computed, not measured: a relaxed structure of OsW at the PBE level of DFT.

Its total energy is -48.2 eV per cell. Its calculated formation energy is 1.2 kcal/mol of atoms. As for the density of states at the Fermi level: 2.194 states/eV per cell.

Cell: 5.317 5.317 4.826 Å, 116.92 116.92 30.41°
Positions (direct):
Os  0.131  0.131  0.464
Os  0.869  0.869  0.536
W  0.382  0.382  0.049
W  0.618  0.618  0.951

***

(6)
Computed, not measured: a relaxed structure of OsW at the PBE level of DFT.

Its total energy is -88.2 eV per cell. Its calculated formation energy is 24.6 kcal/mol of atoms. As for the density of states at the Fermi level: 7.830 states/eV per cell.

Cell: 5.209 5.209 5.070 Å, 90.00 90.00 90.00°
Positions (direct):
Os  0.206  0.206  0.000
Os  0.294  0.706  0.500
Os  0.706  0.294  0.500
Os  0.794  0.794  0.000
W  0.204  0.204  0.500
W  0.296  0.704  0.000
W  0.704  0.296  0.000
W  0.796  0.796  0.500

***

(7)
Computed, not measured: a relaxed structure of OsW at the PBE level of DFT.

Its total energy is -92.5 eV per cell. Its calculated formation energy is 12.2 kcal/mol of atoms. As for the density of states at the Fermi level: 5.722 states/eV per cell.

Cell: 4.374 4.374 7.937 Å, 90.00 90.00 120.00°
Positions (direct):
Os  0.000  0.000  0.250
Os  0.000  0.000  0.750
Os  0.333  0.667  0.250
Os  0.667  0.333  0.750
W  0.333  0.667  0.576
W  0.333  0.667  0.924
W  0.667  0.333  0.076
W  0.667  0.333  0.424

***

(8)
Computed, not measured: a relaxed structure of Os3W at the PBE level of DFT.

Its total energy is -46.0 eV per cell. Its calculated formation energy is 3.9 kcal/mol of atoms. As for the density of states at the Fermi level: 4.272 states/eV per cell.

Cell: 9.179 9.179 9.179 Å, 17.24 17.24 17.24°
Positions (direct):
Os  0.000  0.000  0.000
Os  0.252  0.252  0.252
Os  0.748  0.748  0.748
W  0.500  0.500  0.500

***

(9)
Computed, not measured: a relaxed structure of Os5W4 at the PBE level of DFT.

Its total energy is -107.4 eV per cell. Its calculated formation energy is 1.3 kcal/mol of atoms. As for the density of states at the Fermi level: 7.179 states/eV per cell.

Cell: 6.248 6.248 6.248 Å, 95.55 95.55 143.75°
Positions (direct):
Os  0.000  0.000  0.000
Os  0.336  0.336  0.671
Os  0.336  0.664  0.000
Os  0.664  0.336  0.000
Os  0.664  0.664  0.329
W  0.000  0.320  0.320
W  0.000  0.680  0.680
W  0.320  0.000  0.320
W  0.680  0.000  0.680

***

(10)
Computed, not measured: a relaxed structure of Os3W2 at the PBE level of DFT.

Its total energy is -118.5 eV per cell. Its calculated formation energy is 1.5 kcal/mol of atoms. As for the density of states at the Fermi level: 4.898 states/eV per cell.

Cell: 7.064 5.302 8.125 Å, 59.11 40.10 80.78°
Positions (direct):
Os  0.000  0.000  0.000
Os  0.250  0.250  0.250
Os  0.368  0.672  0.439
Os  0.672  0.368  0.520
Os  0.730  0.811  0.578
Os  0.811  0.730  0.882
W  0.145  0.476  0.956
W  0.294  0.827  0.105
W  0.476  0.145  0.423
W  0.827  0.294  0.774

***

(11)
Computed, not measured: a relaxed structure of Os3W at the PBE level of DFT.

Its total energy is -46.7 eV per cell. Its calculated formation energy is -0.5 kcal/mol of atoms. As for the density of states at the Fermi level: 2.498 states/eV per cell.

Cell: 2.784 4.418 4.791 Å, 90.00 90.00 90.00°
Positions (direct):
Os  0.000  0.000  0.000
Os  0.000  0.500  0.337
Os  0.500  0.000  0.494
W  0.500  0.500  0.831

***

(12)
Computed, not measured: a relaxed structure of OsW5 at the PBE level of DFT.

Its total energy is -73.0 eV per cell. Its calculated formation energy is 11.4 kcal/mol of atoms. As for the density of states at the Fermi level: 5.257 states/eV per cell.

Cell: 5.192 5.192 5.192 Å, 60.00 60.00 60.00°
Positions (direct):
Os  0.000  0.000  0.000
W  0.376  0.376  0.376
W  0.376  0.376  0.872
W  0.376  0.872  0.376
W  0.750  0.750  0.750
W  0.872  0.376  0.376

***

(13)
Computed, not measured: a relaxed structure of OsW at the PBE level of DFT.

Its total energy is -122.4 eV per cell. Its calculated formation energy is 43.6 kcal/mol of atoms. As for the density of states at the Fermi level: 19.710 states/eV per cell.

Cell: 6.975 6.975 6.975 Å, 90.00 90.00 90.00°
Positions (direct):
Os  0.000  0.250  0.500
Os  0.000  0.750  0.500
Os  0.250  0.500  0.000
Os  0.500  0.000  0.250
Os  0.500  0.000  0.750
Os  0.750  0.500  0.000
W  0.000  0.500  0.250
W  0.000  0.500  0.750
W  0.250  0.000  0.500
W  0.500  0.250  0.000
W  0.500  0.750  0.000
W  0.750  0.000  0.500

***

(14)
Computed, not measured: a relaxed structure of Os5W4 at the PBE level of DFT.

Its total energy is -212.4 eV per cell. Its calculated formation energy is 4.5 kcal/mol of atoms. As for the density of states at the Fermi level: 12.663 states/eV per cell.

Cell: 7.638 7.638 5.484 Å, 90.00 90.00 120.00°
Positions (direct):
Os  0.000  0.334  0.250
Os  0.000  0.666  0.750
Os  0.333  0.667  0.000
Os  0.333  0.667  0.500
Os  0.334  0.000  0.250
Os  0.334  0.334  0.750
Os  0.666  0.000  0.750
Os  0.666  0.666  0.250
Os  0.667  0.333  0.000
Os  0.667  0.333  0.500
W  0.000  0.000  0.000
W  0.000  0.000  0.500
W  0.000  0.336  0.750
W  0.000  0.664  0.250
W  0.336  0.000  0.750
W  0.336  0.336  0.250
W  0.664  0.000  0.250
W  0.664  0.664  0.750

***

(15)
Computed, not measured: a relaxed structure of Os3W2 at the PBE level of DFT.

Its total energy is -57.6 eV per cell. Its calculated formation energy is 9.2 kcal/mol of atoms. As for the density of states at the Fermi level: 2.018 states/eV per cell.

Cell: 4.265 4.265 5.361 Å, 90.00 90.00 120.00°
Positions (direct):
Os  0.000  0.000  0.000
Os  0.333  0.667  0.342
Os  0.667  0.333  0.658
W  0.333  0.667  0.815
W  0.667  0.333  0.185

***

(16)
Computed, not measured: a relaxed structure of OsW at the PBE level of DFT.

Its total energy is -47.7 eV per cell. Its calculated formation energy is 3.8 kcal/mol of atoms. As for the density of states at the Fermi level: 2.775 states/eV per cell.

Cell: 2.760 2.760 8.053 Å, 90.00 90.00 90.00°
Positions (direct):
Os  0.250  0.250  0.117
Os  0.750  0.750  0.883
W  0.250  0.250  0.635
W  0.750  0.750  0.365

***

(17)
Computed, not measured: a relaxed structure of OsW at the PBE level of DFT.

Its total energy is -21.9 eV per cell. Its calculated formation energy is 26.1 kcal/mol of atoms. As for the density of states at the Fermi level: 1.793 states/eV per cell.

Cell: 3.670 3.670 3.670 Å, 60.00 60.00 60.00°
Positions (direct):
Os  0.000  0.000  0.000
W  0.500  0.500  0.500

***

(18)
Computed, not measured: a relaxed structure of OsW at the PBE level of DFT.

Its total energy is -47.5 eV per cell. Its calculated formation energy is 5.1 kcal/mol of atoms. As for the density of states at the Fermi level: 2.789 states/eV per cell.

Cell: 9.311 9.311 9.311 Å, 17.18 17.18 17.18°
Positions (direct):
Os  0.125  0.125  0.125
Os  0.875  0.875  0.875
W  0.378  0.378  0.378
W  0.622  0.622  0.622

***

(19)
Computed, not measured: a relaxed structure of OsW5 at the PBE level of DFT.

Its total energy is -73.7 eV per cell. Its calculated formation energy is 8.7 kcal/mol of atoms. As for the density of states at the Fermi level: 5.517 states/eV per cell.

Cell: 4.831 4.831 4.765 Å, 90.00 90.00 120.00°
Positions (direct):
Os  0.000  0.000  0.000
W  0.000  0.670  0.500
W  0.330  0.330  0.500
W  0.333  0.667  0.000
W  0.667  0.333  0.000
W  0.670  0.000  0.500

***

(20)
Computed, not measured: a relaxed structure of OsW3 at the PBE level of DFT.

Its total energy is -49.3 eV per cell. Its calculated formation energy is 4.3 kcal/mol of atoms. As for the density of states at the Fermi level: 3.196 states/eV per cell.

Cell: 4.466 4.466 4.466 Å, 60.00 60.00 60.00°
Positions (direct):
Os  0.000  0.000  0.000
W  0.250  0.250  0.250
W  0.500  0.500  0.500
W  0.750  0.750  0.750

***

(21)
Computed, not measured: a relaxed structure of OsW at the PBE level of DFT.

Its total energy is -46.9 eV per cell. Its calculated formation energy is 8.6 kcal/mol of atoms. As for the density of states at the Fermi level: 2.504 states/eV per cell.

Cell: 4.521 4.521 4.521 Å, 58.59 58.59 58.59°
Positions (direct):
Os  0.149  0.149  0.149
Os  0.851  0.851  0.851
W  0.376  0.376  0.376
W  0.624  0.624  0.624

***

(22)
Computed, not measured: a relaxed structure of Os3W5 at the PBE level of DFT.

Its total energy is -192.4 eV per cell. Its calculated formation energy is 6.5 kcal/mol of atoms. As for the density of states at the Fermi level: 13.486 states/eV per cell.

Cell: 7.672 7.672 5.040 Å, 90.00 90.00 120.00°
Positions (direct):
Os  0.000  0.421  0.250
Os  0.000  0.579  0.750
Os  0.421  0.000  0.250
Os  0.421  0.421  0.750
Os  0.579  0.000  0.750
Os  0.579  0.579  0.250
W  0.000  0.222  0.750
W  0.000  0.778  0.250
W  0.222  0.000  0.750
W  0.222  0.222  0.250
W  0.333  0.667  0.000
W  0.333  0.667  0.500
W  0.667  0.333  0.000
W  0.667  0.333  0.500
W  0.778  0.000  0.250
W  0.778  0.778  0.750

***

(23)
Computed, not measured: a relaxed structure of OsW at the PBE level of DFT.

Its total energy is -90.5 eV per cell. Its calculated formation energy is 17.9 kcal/mol of atoms. As for the density of states at the Fermi level: 7.717 states/eV per cell.

Cell: 6.956 6.956 6.956 Å, 92.49 92.49 155.95°
Positions (direct):
Os  0.095  0.836  0.931
Os  0.164  0.095  0.258
Os  0.836  0.905  0.742
Os  0.905  0.164  0.069
W  0.118  0.369  0.488
W  0.369  0.882  0.251
W  0.631  0.118  0.749
W  0.882  0.631  0.512

***

(24)
Computed, not measured: a relaxed structure of OsW at the PBE level of DFT.

Its total energy is -47.8 eV per cell. Its calculated formation energy is 3.2 kcal/mol of atoms. As for the density of states at the Fermi level: 2.325 states/eV per cell.

Cell: 2.763 4.544 4.872 Å, 90.00 90.00 90.00°
Positions (direct):
Os  0.250  0.250  0.088
Os  0.750  0.750  0.912
W  0.250  0.750  0.400
W  0.750  0.250  0.600

***

(25)
Computed, not measured: a relaxed structure of OsW3 at the PBE level of DFT.

Its total energy is -97.8 eV per cell. Its calculated formation energy is 6.8 kcal/mol of atoms. As for the density of states at the Fermi level: 9.046 states/eV per cell.

Cell: 4.550 5.537 5.055 Å, 90.00 90.00 90.00°
Positions (direct):
Os  0.250  0.250  0.171
Os  0.750  0.750  0.829
W  0.250  0.014  0.652
W  0.250  0.486  0.652
W  0.250  0.750  0.121
W  0.750  0.250  0.879
W  0.750  0.514  0.348
W  0.750  0.986  0.348

***

(26)
Computed, not measured: a relaxed structure of OsW at the PBE level of DFT.

Its total energy is -47.0 eV per cell. Its calculated formation energy is 7.7 kcal/mol of atoms. As for the density of states at the Fermi level: 3.935 states/eV per cell.

Cell: 3.229 3.229 6.001 Å, 90.00 90.00 90.00°
Positions (direct):
Os  0.250  0.250  0.147
Os  0.750  0.750  0.853
W  0.250  0.250  0.639
W  0.750  0.750  0.361